A:
Computed, not measured: a relaxed KScSe crystal at the PBE level of DFT.

The structure in CIF format:
```
data_KScSe
_cell_length_a 4.9193
_cell_length_b 4.9193
_cell_length_c 4.9193
_cell_angle_alpha 60.00
_cell_angle_beta 60.00
_cell_angle_gamma 60.00
_space_group_name_H-M_alt 'P 1'
_space_group_IT_number 1
loop_
_space_group_symop_operation_xyz
'x,y,z'
loop_
_atom_site_label
_atom_site_type_symbol
_atom_site_fract_x
_atom_site_fract_y
_atom_site_fract_z
K1 K 0.0000 0.0000 0.0000
Sc1 Sc 0.5000 0.5000 0.5000
Se1 Se 0.7500 0.7500 0.7500
```

B:
Computed, not measured: a relaxed KScSe crystal at the PBE level of DFT.

The structure in CIF format:
```
data_KScSe
_cell_length_a 4.4972
_cell_length_b 4.4972
_cell_length_c 10.6381
_cell_angle_alpha 90.00
_cell_angle_beta 90.00
_cell_angle_gamma 90.00
_space_group_name_H-M_alt 'P 1'
_space_group_IT_number 1
loop_
_space_group_symop_operation_xyz
'x,y,z'
loop_
_atom_site_label
_atom_site_type_symbol
_atom_site_fract_x
_atom_site_fract_y
_atom_site_fract_z
K1 K 0.0000 0.5000 0.8216
Se1 Se 0.5000 0.0000 0.6394
Sc1 Sc 0.5000 0.5000 0.5000
K2 K 0.5000 0.0000 0.1784
Se2 Se 0.0000 0.5000 0.3606
Sc2 Sc 0.0000 0.0000 0.5000
```

C:
Computed, not measured: a relaxed KScSe crystal at the PBE level of DFT.

The structure in CIF format:
```
data_KScSe
_cell_length_a 7.4922
_cell_length_b 7.4922
_cell_length_c 3.5897
_cell_angle_alpha 76.14
_cell_angle_beta 76.14
_cell_angle_gamma 27.72
_space_group_name_H-M_alt 'P 1'
_space_group_IT_number 1
loop_
_space_group_symop_operation_xyz
'x,y,z'
loop_
_atom_site_label
_atom_site_type_symbol
_atom_site_fract_x
_atom_site_fract_y
_atom_site_fract_z
Se1 Se 0.7028 0.7028 0.2972
Sc1 Sc 0.2796 0.2796 0.7204
K1 K 0.0175 0.0175 0.9825
```

B (16.6 kJ/mol of atoms below the next structure)

A:
Computed, not measured: a relaxed KSc3Se crystal at the PBE level of DFT.

The structure in CIF format:
```
data_KSc3Se
_cell_length_a 5.2837
_cell_length_b 5.2837
_cell_length_c 5.2837
_cell_angle_alpha 90.00
_cell_angle_beta 90.00
_cell_angle_gamma 90.00
_space_group_name_H-M_alt 'P 1'
_space_group_IT_number 1
loop_
_space_group_symop_operation_xyz
'x,y,z'
loop_
_atom_site_label
_atom_site_type_symbol
_atom_site_fract_x
_atom_site_fract_y
_atom_site_fract_z
K1 K 0.5000 0.5000 0.5000
Sc1 Sc 0.5000 0.0000 0.0000
Sc2 Sc 0.0000 0.5000 0.0000
Se1 Se 0.0000 0.0000 0.0000
Sc3 Sc 0.0000 0.0000 0.5000
```

B:
Computed, not measured: a relaxed KSc3Se crystal at the PBE level of DFT.

The structure in CIF format:
```
data_KSc3Se
_cell_length_a 5.0366
_cell_length_b 5.0366
_cell_length_c 5.0366
_cell_angle_alpha 90.00
_cell_angle_beta 90.00
_cell_angle_gamma 90.00
_space_group_name_H-M_alt 'P 1'
_space_group_IT_number 1
loop_
_space_group_symop_operation_xyz
'x,y,z'
loop_
_atom_site_label
_atom_site_type_symbol
_atom_site_fract_x
_atom_site_fract_y
_atom_site_fract_z
K1 K 0.0000 0.0000 0.0000
Sc1 Sc 0.0000 0.5000 0.0000
Sc2 Sc 0.5000 0.0000 0.0000
Se1 Se 0.5000 0.5000 0.5000
Sc3 Sc 0.0000 0.0000 0.5000
```

A (134.1 kJ/mol of atoms below the next structure)

A:
Computed, not measured: a relaxed KScSi crystal at the PBE level of DFT.

The structure in CIF format:
```
data_KScSi
_cell_length_a 4.5972
_cell_length_b 4.5972
_cell_length_c 5.5366
_cell_angle_alpha 90.00
_cell_angle_beta 90.00
_cell_angle_gamma 120.00
_space_group_name_H-M_alt 'P 1'
_space_group_IT_number 1
loop_
_space_group_symop_operation_xyz
'x,y,z'
loop_
_atom_site_label
_atom_site_type_symbol
_atom_site_fract_x
_atom_site_fract_y
_atom_site_fract_z
K1 K 0.6667 0.3333 0.5000
Si1 Si 0.3333 0.6667 0.0000
Sc1 Sc 0.0000 0.0000 0.0000
```

B:
Computed, not measured: a relaxed KScSi crystal at the PBE level of DFT.

The structure in CIF format:
```
data_KScSi
_cell_length_a 4.8667
_cell_length_b 4.8667
_cell_length_c 4.8667
_cell_angle_alpha 60.00
_cell_angle_beta 60.00
_cell_angle_gamma 60.00
_space_group_name_H-M_alt 'P 1'
_space_group_IT_number 1
loop_
_space_group_symop_operation_xyz
'x,y,z'
loop_
_atom_site_label
_atom_site_type_symbol
_atom_site_fract_x
_atom_site_fract_y
_atom_site_fract_z
Sc1 Sc 0.0000 0.0000 0.0000
K1 K 0.7500 0.7500 0.7500
Si1 Si 0.5000 0.5000 0.5000
```

C:
Computed, not measured: a relaxed KScSi crystal at the PBE level of DFT.

The structure in CIF format:
```
data_KScSi
_cell_length_a 3.5882
_cell_length_b 3.5882
_cell_length_c 7.9305
_cell_angle_alpha 90.00
_cell_angle_beta 90.00
_cell_angle_gamma 120.00
_space_group_name_H-M_alt 'P 1'
_space_group_IT_number 1
loop_
_space_group_symop_operation_xyz
'x,y,z'
loop_
_atom_site_label
_atom_site_type_symbol
_atom_site_fract_x
_atom_site_fract_y
_atom_site_fract_z
Sc1 Sc 0.6667 0.3333 0.4126
Si1 Si 0.3333 0.6667 0.6319
K1 K 0.0000 0.0000 0.9555
```

D:
Computed, not measured: a relaxed KScSi crystal at the PBE level of DFT.

The structure in CIF format:
```
data_KScSi
_cell_length_a 7.0166
_cell_length_b 7.0166
_cell_length_c 7.0166
_cell_angle_alpha 148.82
_cell_angle_beta 148.82
_cell_angle_gamma 44.67
_space_group_name_H-M_alt 'P 1'
_space_group_IT_number 1
loop_
_space_group_symop_operation_xyz
'x,y,z'
loop_
_atom_site_label
_atom_site_type_symbol
_atom_site_fract_x
_atom_site_fract_y
_atom_site_fract_z
Sc1 Sc 0.2602 0.2602 0.0000
K1 K 0.0029 0.0029 0.0000
Si1 Si 0.7369 0.7369 0.0000
```

D (17.2 kJ/mol of atoms below the next structure)

A:
Computed, not measured: a relaxed KScSi crystal at the PBE level of DFT.

The structure in CIF format:
```
data_KScSi
_cell_length_a 4.2287
_cell_length_b 3.4100
_cell_length_c 13.5429
_cell_angle_alpha 75.88
_cell_angle_beta 90.30
_cell_angle_gamma 90.00
_space_group_name_H-M_alt 'P 1'
_space_group_IT_number 1
loop_
_space_group_symop_operation_xyz
'x,y,z'
loop_
_atom_site_label
_atom_site_type_symbol
_atom_site_fract_x
_atom_site_fract_y
_atom_site_fract_z
K1 K 0.5400 0.9257 0.5480
Sc1 Sc 0.5386 0.8457 0.1141
Si1 Si 0.5420 0.6407 0.3260
Sc2 Sc 0.0413 0.1802 0.2853
Si2 Si 0.0378 0.3851 0.0734
K2 K 0.0419 0.1001 0.8515
```

B:
Computed, not measured: a relaxed KScSi crystal at the PBE level of DFT.

The structure in CIF format:
```
data_KScSi
_cell_length_a 4.0643
_cell_length_b 5.1037
_cell_length_c 11.3243
_cell_angle_alpha 83.36
_cell_angle_beta 99.46
_cell_angle_gamma 113.45
_space_group_name_H-M_alt 'P 1'
_space_group_IT_number 1
loop_
_space_group_symop_operation_xyz
'x,y,z'
loop_
_atom_site_label
_atom_site_type_symbol
_atom_site_fract_x
_atom_site_fract_y
_atom_site_fract_z
Sc1 Sc 0.3914 0.7188 0.5701
K1 K 0.2228 0.7440 0.1725
Sc2 Sc 0.6086 0.2812 0.4299
Si1 Si 0.8967 0.8780 0.4074
Si2 Si 0.1033 0.1220 0.5926
K2 K 0.7772 0.2560 0.8275
```

A (5.2 kJ/mol of atoms below the next structure)